# 1
A plane-wave DFT calculation with PBE-GGA was carried out for crystalline HfTi2Sn at its relaxed geometry.

ΔE_f: -0.196 eV/atom
volume: 19.41 A^3/atom
energy: -7.632 eV/atom

Cell and atoms, written as POSCAR:
```
HfTi2Sn
1.0
-0.0678 1.4055 -3.2199
1.9667 -2.6534 -1.1996
-5.2094 -3.2661 -1.3159
Hf Sn Ti
1 1 2
direct
0.5000 0.5000 0.0000
0.5000 0.5000 0.5000
0.0000 0.0000 0.7455
0.0000 0.0000 0.2545
```

***

# 2
A plane-wave DFT calculation with PBE-GGA was carried out for crystalline SnSeIO2 at its relaxed geometry.

ΔE_f (raw): 168.4 meV/atom
energy above the lowest structure with this stoichiometry: 45.9 kJ/mol of atoms
volume: 20.43 A^3/atom
energy: -3.622 eV/atom

Cell and atoms, written as POSCAR:
```
SnSeIO2
1.0
-1.4057 -1.5758 -3.6868
-4.3559 -2.4100 2.6909
-2.3195 3.5063 -0.6143
I O Sn Se
1 2 1 1
direct
0.0000 0.5000 0.0000
0.0000 0.0000 0.5000
0.5000 0.0000 0.0000
0.5000 0.5000 0.5000
0.0000 0.0000 0.0000
```